[1]
A plane-wave DFT calculation with meta-GGA SCAN was carried out for a PBEsol-optimized structure of Na2LiAu3.

Values from the calculation:
Its space group is No. 194. The formation energy is -530 meV per atom.

Cell and atoms, written as POSCAR:
```
Na2LiAu3
1.0
5.5090 0.0000 0.0000
-2.7545 4.7709 0.0000
0.0000 0.0000 8.6509
Na Li Au
4 2 6
Cartesian
0.0000 3.1806 0.5957
0.0000 3.1806 3.7297
2.7545 1.5903 4.9212
2.7545 1.5903 8.0552
0.0000 0.0000 0.0000
0.0000 0.0000 4.3254
0.0000 1.6023 6.4882
-1.3669 3.9698 6.4882
1.3876 0.8011 2.1627
1.3669 3.9698 6.4882
4.1214 0.8011 2.1627
2.7545 3.1687 2.1627
```



[2]
A plane-wave DFT calculation with meta-GGA SCAN was carried out for a PBEsol-optimized structure of NaLiNi2Au.

Values from the calculation:
Its space group is No. 123. The formation energy is 415 meV per atom.

Cell and atoms, written as POSCAR:
```
NaLiNi2Au
1.0
4.7219 0.0000 0.0000
0.0000 4.7219 0.0000
0.0000 0.0000 4.6631
Na Li Ni Au
1 1 2 1
Cartesian
0.0000 0.0000 0.0000
2.3609 2.3609 0.0000
0.0000 2.3609 2.3315
2.3609 0.0000 2.3315
2.3609 2.3609 2.3315
```



[3]
A plane-wave DFT calculation with meta-GGA SCAN was carried out for a PBEsol-optimized structure of LiNb3Au.

Values from the calculation:
Its space group is No. 221. The formation energy is 841 meV per atom.

Cell and atoms, written as POSCAR:
```
LiNb3Au
1.0
4.3414 0.0000 0.0000
0.0000 4.3414 0.0000
0.0000 0.0000 4.3414
Li Nb Au
1 3 1
Cartesian
0.0000 0.0000 0.0000
0.0000 0.0000 2.1707
0.0000 2.1707 0.0000
2.1707 0.0000 0.0000
2.1707 2.1707 2.1707
```



[4]
A plane-wave DFT calculation with meta-GGA SCAN was carried out for a PBEsol-optimized structure of LiNiAu2.

Values from the calculation:
Its space group is No. 216. The formation energy is -108 meV per atom.

Cell and atoms, written as POSCAR:
```
LiNiAu2
1.0
0.0000 3.0671 3.0671
3.0671 0.0000 3.0671
3.0671 3.0671 0.0000
Li Ni Au
1 1 2
Cartesian
0.0000 0.0000 0.0000
1.5335 1.5335 1.5335
3.0671 3.0671 3.0671
4.6006 4.6006 4.6006
```



[5]
A plane-wave DFT calculation with meta-GGA SCAN was carried out for a PBEsol-optimized structure of LiNi2Au.

Values from the calculation:
Its space group is No. 119. The formation energy is -104 meV per atom.

Cell and atoms, written as POSCAR:
```
LiNi2Au
1.0
-1.8533 1.8533 3.5399
1.8533 -1.8533 3.5399
1.8533 1.8533 -3.5399
Li Ni Au
1 2 1
Cartesian
0.0000 0.0000 0.0000
1.8533 0.0000 1.7699
0.0000 0.0000 3.5399
0.0000 1.8533 1.7699
```



[6]
A plane-wave DFT calculation with meta-GGA SCAN was carried out for a PBEsol-optimized structure of LiNiAu.

Values from the calculation:
The value obtained for the energy above the most stable polymorph in this dataset is 118 meV per atom. Its space group is No. 216. The formation energy is 107 meV per atom.

Cell and atoms, written as POSCAR:
```
LiNiAu
1.0
0.0000 2.8535 2.8535
2.8535 0.0000 2.8535
2.8535 2.8535 0.0000
Li Ni Au
1 1 1
Cartesian
0.0000 0.0000 0.0000
4.2802 4.2802 4.2802
2.8535 2.8535 2.8535
```



[7]
A plane-wave DFT calculation with meta-GGA SCAN was carried out for a PBEsol-optimized structure of LiNiAu2.

Values from the calculation:
Its space group is No. 65. The formation energy is -316 meV per atom.

Cell and atoms, written as POSCAR:
```
LiNiAu2
1.0
3.0103 -3.0985 0.0000
3.0103 3.0985 0.0000
0.0000 0.0000 2.9545
Li Ni Au
1 1 2
Cartesian
0.0000 0.0000 0.0000
3.0103 0.0000 0.0000
1.5051 1.5493 1.4772
1.5051 -1.5493 1.4772
```



[8]
A plane-wave DFT calculation with meta-GGA SCAN was carried out for a PBEsol-optimized structure of LiNiAu.

Values from the calculation:
The value obtained for the energy above the most stable polymorph in this dataset is 0 meV per atom. Its space group is No. 156. The formation energy is -11 meV per atom.

Cell and atoms, written as POSCAR:
```
LiNiAu
1.0
2.7047 0.0000 0.0000
-1.3523 2.3423 0.0000
0.0000 0.0000 6.4490
Li Ni Au
1 1 1
Cartesian
0.0000 0.0000 0.0000
0.0000 1.5616 4.4482
1.3523 0.7808 2.2385
```



[9]
A plane-wave DFT calculation with meta-GGA SCAN was carried out for a PBEsol-optimized structure of Li2TiNiAu.

Values from the calculation:
Its space group is No. 123. The formation energy is 437 meV per atom.

Cell and atoms, written as POSCAR:
```
Li2TiNiAu
1.0
4.2992 0.0000 0.0000
0.0000 4.2992 0.0000
0.0000 0.0000 4.8354
Li Ti Ni Au
2 1 1 1
Cartesian
0.0000 2.1496 0.0000
2.1496 0.0000 0.0000
0.0000 0.0000 2.4177
2.1496 2.1496 2.4177
2.1496 2.1496 0.0000
```



[10]
A plane-wave DFT calculation with meta-GGA SCAN was carried out for a PBEsol-optimized structure of Li5AuO4.

Values from the calculation:
The value obtained for the energy above the most stable polymorph in this dataset is 81 meV per atom. Its space group is No. 2. The formation energy from raw total energies comes out at -1637 meV per atom.

Cell and atoms, written as POSCAR:
```
Li5AuO4
1.0
3.5446 0.0000 0.0000
1.7721 5.0823 0.0000
1.7632 0.4502 5.2190
Li Au O
5 1 4
Cartesian
0.0000 0.0000 0.0000
1.7680 0.4837 3.1401
1.7721 1.7392 0.1669
5.3079 3.7934 5.0521
5.3120 5.0488 2.0790
3.5400 2.7663 2.6095
3.5359 3.8727 4.2902
3.5401 4.4692 1.5071
3.5398 1.0634 3.7119
3.5441 1.6599 0.9288
```



[11]
A plane-wave DFT calculation with meta-GGA SCAN was carried out for a PBEsol-optimized structure of Li5AuO4.

Values from the calculation:
The value obtained for the energy above the most stable polymorph in this dataset is 1 meV per atom. Its space group is No. 70. The formation energy from raw total energies comes out at -1717 meV per atom.

Cell and atoms, written as POSCAR:
```
Li5AuO4
1.0
0.0000 3.6760 9.4003
2.9264 0.0000 9.4003
2.9264 3.6760 0.0000
Li Au O
10 2 8
Cartesian
2.1948 2.7570 0.3063
0.7316 0.9190 2.3501
2.1948 2.7570 4.2956
3.6580 4.5950 5.0064
3.6580 4.5950 8.9957
2.1948 2.7570 9.8049
2.1948 2.7570 13.7941
3.6580 4.5950 14.5050
5.1212 6.4330 16.4505
3.6580 4.5950 18.4943
2.1948 2.7570 7.0502
3.6580 4.5950 11.7504
3.6430 2.7737 5.6646
3.6430 2.7403 8.4358
5.1062 4.5783 10.3647
5.1062 4.6117 13.1360
0.7466 2.7403 5.6646
0.7466 2.7737 8.4358
2.2098 4.6117 10.3647
2.2098 4.5783 13.1360
```



[12]
A plane-wave DFT calculation with meta-GGA SCAN was carried out for a PBEsol-optimized structure of Li5AuO4.

Values from the calculation:
The value obtained for the energy above the most stable polymorph in this dataset is 0 meV per atom. Its space group is No. 12. The formation energy from raw total energies comes out at -1719 meV per atom.

Cell and atoms, written as POSCAR:
```
Li5AuO4
1.0
2.3506 -4.7006 0.0000
2.3506 4.7006 0.0000
-1.0535 0.0000 4.5764
Li Au O
5 1 4
Cartesian
0.0000 0.0000 0.0000
1.8239 2.7530 2.2882
2.3506 2.0408 0.0000
2.3506 -2.0408 0.0000
1.8239 -2.7530 2.2882
1.8239 0.0000 2.2882
0.9369 1.3860 1.1440
0.9369 -1.3860 1.1440
2.7109 1.3860 3.4324
2.7109 -1.3860 3.4324
```



[13]
A plane-wave DFT calculation with meta-GGA SCAN was carried out for a PBEsol-optimized structure of LiSbAu2O.

Values from the calculation:
Its space group is No. 123. The formation energy from raw total energies comes out at 163 meV per atom.

Cell and atoms, written as POSCAR:
```
LiSbAu2O
1.0
4.4881 0.0000 0.0000
0.0000 4.4881 0.0000
0.0000 0.0000 4.6202
Li Sb Au O
1 1 2 1
Cartesian
0.0000 0.0000 0.0000
2.2441 2.2441 0.0000
0.0000 2.2441 2.3101
2.2441 0.0000 2.3101
2.2441 2.2441 2.3101
```



[14]
A plane-wave DFT calculation with meta-GGA SCAN was carried out for a PBEsol-optimized structure of Li2OsAu.

Values from the calculation:
Its space group is No. 25. The formation energy is 95 meV per atom.

Cell and atoms, written as POSCAR:
```
Li2OsAu
1.0
2.5717 0.0000 0.0000
0.0000 4.3535 0.0000
0.0000 0.0000 5.1949
Li Os Au
2 1 1
Cartesian
0.0000 0.0000 0.0000
1.2859 2.1768 1.2310
0.0000 0.0000 2.6214
1.2859 2.1768 3.7606
```



[15]
A plane-wave DFT calculation with meta-GGA SCAN was carried out for a PBEsol-optimized structure of LiOsAu2.

Values from the calculation:
The value obtained for the energy above the most stable polymorph in this dataset is 349 meV per atom. Its space group is No. 139. The formation energy is 321 meV per atom.

Cell and atoms, written as POSCAR:
```
LiOsAu2
1.0
-2.0406 2.0406 3.6102
2.0406 -2.0406 3.6102
2.0406 2.0406 -3.6102
Li Os Au
1 1 2
Cartesian
0.0000 0.0000 0.0000
0.0000 0.0000 3.6102
2.0406 0.0000 1.8051
0.0000 2.0406 1.8051
```



[16]
A plane-wave DFT calculation with meta-GGA SCAN was carried out for a PBEsol-optimized structure of LiOsAu2.

Values from the calculation:
The value obtained for the energy above the most stable polymorph in this dataset is 0 meV per atom. Its space group is No. 123. The formation energy is -27 meV per atom.

Cell and atoms, written as POSCAR:
```
LiOsAu2
1.0
4.7784 0.0000 0.0000
0.0000 4.7784 0.0000
0.0000 0.0000 2.6813
Li Os Au
1 1 2
Cartesian
0.0000 0.0000 0.0000
2.3892 2.3892 0.0000
0.0000 2.3892 1.3406
2.3892 0.0000 1.3406
```



[17]
A plane-wave DFT calculation with meta-GGA SCAN was carried out for a PBEsol-optimized structure of LiPAu2.

Values from the calculation:
Its space group is No. 65. The formation energy is -64 meV per atom.

Cell and atoms, written as POSCAR:
```
LiPAu2
1.0
1.8959 -1.9437 0.0000
1.8959 1.9437 0.0000
0.0000 0.0000 8.4631
Li P Au
1 1 2
Cartesian
0.0000 0.0000 0.0000
0.0000 0.0000 4.2316
1.8959 0.0000 1.9648
1.8959 0.0000 6.4984
```



[18]
A plane-wave DFT calculation with meta-GGA SCAN was carried out for a PBEsol-optimized structure of LiPAu2.

Values from the calculation:
Its space group is No. 12. The formation energy is -129 meV per atom.

Cell and atoms, written as POSCAR:
```
LiPAu2
1.0
2.7860 -4.5381 0.0000
2.7860 4.5381 0.0000
-1.2570 0.0000 2.4900
Li P Au
1 1 2
Cartesian
0.0000 0.0000 0.0000
2.7860 0.0000 0.0000
1.3930 2.2691 0.0000
1.3930 -2.2691 0.0000
```



[19]
A plane-wave DFT calculation with meta-GGA SCAN was carried out for a PBEsol-optimized structure of Li3PAu.

Values from the calculation:
Its space group is No. 221. The formation energy is -250 meV per atom.

Cell and atoms, written as POSCAR:
```
Li3PAu
1.0
4.5332 0.0000 0.0000
0.0000 4.5332 0.0000
0.0000 0.0000 4.5332
Li P Au
3 1 1
Cartesian
0.0000 0.0000 2.2666
0.0000 2.2666 0.0000
2.2666 0.0000 0.0000
0.0000 0.0000 0.0000
2.2666 2.2666 2.2666
```



[20]
A plane-wave DFT calculation with meta-GGA SCAN was carried out for a PBEsol-optimized structure of Li2PAu.

Values from the calculation:
Its space group is No. 25. The formation energy is -368 meV per atom.

Cell and atoms, written as POSCAR:
```
Li2PAu
1.0
2.6617 0.0000 0.0000
0.0000 4.0986 0.0000
0.0000 0.0000 5.3364
Li P Au
2 1 1
Cartesian
0.0000 0.0000 0.0000
1.3308 2.0493 1.6078
0.0000 0.0000 2.6039
1.3308 2.0493 4.3001
```